(1)
Computed, not measured: a geometry-optimized TaMn3Tl3S8 structure at the GGA-PBE level of DFT.

Values from the calculation:
Its spin magnetization is 0.8663 μB/atom. The calculated volume is 338 Å³/f.u. The value obtained for the uncorrected formation energy is -0.583 eV/atom.

abc: 7.2012 7.2012 8.6011
angles: 114.89 114.89 60.26
Last column: nearest neighbours and their distance in Å.
Fractional positions:
Ta: 0.0000 0.0000 0.0000  6 S 2.47-2.48
Mn: 0.0000 0.5000 0.0000  6 S 2.45-2.51
Mn: 0.5000 0.0000 0.0000  6 S 2.45-2.51
Mn: 0.5000 0.5000 0.0000  6 S 2.44-2.52
Tl: 0.0000 0.0000 0.5000  6 S 3.16-3.22
Tl: 0.0000 0.5000 0.5000  6 S 3.15-3.24
Tl: 0.5000 0.0000 0.5000  6 S 3.15-3.24
S: 0.2244 0.7313 0.1830  1 Ta 2.48, 2 Mn 2.49-2.52
S: 0.2263 0.2263 0.1842  1 Ta 2.47, 2 Mn 2.51
S: 0.2687 0.7756 0.8170  1 Ta 2.48, 2 Mn 2.49-2.52
S: 0.2763 0.2763 0.8291  3 Mn 2.44-2.45
S: 0.7237 0.7237 0.1709  3 Mn 2.44-2.45
S: 0.7313 0.2244 0.1830  1 Ta 2.48, 2 Mn 2.49-2.52
S: 0.7737 0.7737 0.8158  1 Ta 2.47, 2 Mn 2.51
S: 0.7756 0.2687 0.8170  1 Ta 2.48, 2 Mn 2.49-2.52

(2)
Computed, not measured: a geometry-optimized Tb5Nd3Dy4 structure at the GGA-PBE level of DFT.

Values from the calculation:
Its spin magnetization is 0.0238 μB/atom. The calculated volume is 402 Å³/f.u. As for the energy relative to the elements: 270 meV/atom.

abc: 9.5476 9.5476 8.6795
angles: 116.31 116.31 35.07
Last column: nearest neighbours and their distance in Å.
Fractional positions:
Tb: 0.0000 0.0000 0.0000  4 Nd 2.88-3.00, 2 Dy 2.96
Tb: 0.3454 0.3454 0.1212  2 Nd 3.36-3.43, 3 Dy 3.55-3.67, 1 Tb 3.57
Tb: 0.3935 0.3935 0.5698  2 Nd 3.31-3.61, 4 Dy 3.45-3.62, 1 Tb 3.57
Tb: 0.6065 0.6065 0.4302  2 Nd 3.31-3.61, 4 Dy 3.45-3.62, 1 Tb 3.57
Tb: 0.6546 0.6546 0.8788  2 Nd 3.36-3.43, 3 Dy 3.55-3.67, 1 Tb 3.57
Nd: 0.1853 0.1853 0.2128  2 Tb 3.00-3.36
Nd: 0.5000 0.5000 0.0000  2 Tb 2.88
Nd: 0.8147 0.8147 0.7872  2 Tb 3.00-3.36
Dy: 0.0300 0.0300 0.6929  1 Tb 2.96, 1 Dy 3.00
Dy: 0.2025 0.2025 0.6530  1 Dy 3.32, 3 Nd 3.40-3.69, 3 Tb 3.45-3.67
Dy: 0.7975 0.7975 0.3470  1 Dy 3.32, 3 Nd 3.40-3.69, 3 Tb 3.45-3.67
Dy: 0.9700 0.9700 0.3071  1 Tb 2.96, 1 Dy 3.00